{"formula": "CdCIN2", "functional": "GGA-PBEsol", "state": "optimized geometry", "lattice_angstrom": [[3.965, 0.000, 0.000], [0.000, 3.965, 0.000], [0.000, 0.000, 4.467]], "species": ["C", "N", "I", "Cd", "N"], "frac_coords": [[0.000, 0.000, 0.000], [0.000, 0.500, 0.000], [0.000, 0.000, 0.500], [0.500, 0.500, 0.500], [0.500, 0.000, 0.000]], "dos_ef_per_ev_cell": 2.84, "e_tot_ev_per_atom": -3.550}


{"formula": "MnSb5", "functional": "GGA-PBEsol", "state": "optimized geometry", "lattice_angstrom": [[-4.229, 3.871, -2.112], [-5.848, -0.671, 1.640], [-2.598, 4.043, 3.774]], "species": ["Sb", "Mn", "Sb", "Sb", "Sb", "Sb"], "frac_coords": [[0.625, 0.124, 0.625], [0.000, 0.000, 0.000], [0.625, 0.625, 0.124], [0.124, 0.625, 0.625], [0.625, 0.625, 0.625], [0.250, 0.250, 0.250]], "dos_ef_per_ev_cell": 5.14, "de_polymorph_mev_per_atom": 475, "e_tot_ev_per_atom": -4.780}


{"formula": "KTcRu2", "functional": "GGA-PBEsol", "state": "optimized geometry", "lattice_angstrom": [[2.752, 0.000, 0.000], [-1.376, 4.378, 0.007], [0.000, -0.786, 6.661]], "species": ["Ru", "Ru", "Tc", "K"], "frac_coords": [[0.275, 0.551, 0.353], [0.725, 0.449, 0.647], [0.000, 0.000, 0.500], [0.500, 0.000, 0.000]], "dos_ef_per_ev_cell": 5.79, "de_polymorph_mev_per_atom": 0, "ef_ev_per_atom": 0.950, "e_tot_ev_per_atom": -7.236}


{"formula": "AgGeBiTe3", "functional": "GGA-PBEsol", "state": "optimized geometry", "lattice_angstrom": [[-1.117, 0.875, 4.036], [1.397, -5.642, 1.610], [5.839, 4.222, -1.568]], "species": ["Ag", "Te", "Ge", "Bi", "Te", "Te"], "frac_coords": [[0.006, 0.006, 0.012], [0.987, 0.487, 0.973], [0.329, 0.329, 0.659], [0.670, 0.670, 0.340], [0.344, 0.844, 0.688], [0.664, 0.164, 0.327]], "dos_ef_per_ev_cell": 0.95, "e_tot_ev_per_atom": -3.943}


{"formula": "CsSnNF2", "functional": "GGA-PBEsol", "state": "optimized geometry", "lattice_angstrom": [[4.551, 0.000, 0.000], [0.000, 4.959, 0.000], [0.000, 0.000, 4.959]], "species": ["F", "Sn", "F", "Cs", "N"], "frac_coords": [[0.000, 0.000, 0.500], [0.500, 0.500, 0.500], [0.000, 0.500, 0.000], [0.000, 0.000, 0.000], [0.500, 0.000, 0.000]], "dos_ef_per_ev_cell": 2.38, "e_tot_ev_per_atom": -3.433}


{"formula": "CdMoPb2", "functional": "GGA-PBEsol", "state": "optimized geometry", "lattice_angstrom": [[4.247, 0.000, 0.000], [0.000, 4.247, 0.000], [-2.124, -2.124, 4.843]], "species": ["Cd", "Pb", "Mo", "Pb"], "frac_coords": [[0.500, 0.500, 0.000], [0.000, 0.000, 0.000], [0.250, 0.750, 0.500], [0.750, 0.250, 0.500]], "dos_ef_per_ev_cell": 2.86, "ef_ev_per_atom": 0.660, "e_tot_ev_per_atom": -4.581}


{"formula": "Na2Re2C", "functional": "GGA-PBEsol", "state": "optimized geometry", "lattice_angstrom": [[3.428, 0.000, 0.000], [0.000, 3.428, 0.000], [-1.714, -1.714, 8.651]], "species": ["Na", "Re", "C", "Re", "Na"], "frac_coords": [[0.585, 0.585, 0.169], [0.750, 0.250, 0.500], [0.000, 0.000, 0.000], [0.250, 0.750, 0.500], [0.415, 0.415, 0.831]], "dos_ef_per_ev_cell": 3.72, "ef_ev_per_atom": 1.790, "e_tot_ev_per_atom": -6.031}


{"formula": "KScTe", "functional": "GGA-PBEsol", "state": "optimized geometry", "lattice_angstrom": [[5.249, 0.000, 0.000], [2.624, 4.546, 0.000], [2.624, 1.515, 4.286]], "species": ["K", "Sc", "Te"], "frac_coords": [[0.250, 0.250, 0.250], [0.000, 0.000, 0.000], [0.500, 0.500, 0.500]], "dos_ef_per_ev_cell": 5.61, "de_polymorph_mev_per_atom": 842, "e_tot_ev_per_atom": -3.388}


{"formula": "ZnTcNi2", "functional": "GGA-PBEsol", "state": "optimized geometry", "lattice_angstrom": [[-2.277, 0.810, 0.923], [-0.675, -2.450, 0.484], [2.793, 0.504, 6.448]], "species": ["Ni", "Ni", "Zn", "Tc"], "frac_coords": [[0.000, 0.000, 0.254], [0.000, 0.000, 0.746], [0.500, 0.500, 0.500], [0.500, 0.500, 0.000]], "dos_ef_per_ev_cell": 3.62, "ef_ev_per_atom": -0.144, "e_tot_ev_per_atom": -6.435}


{"formula": "BeIn2SiGe", "functional": "GGA-PBEsol", "state": "optimized geometry", "lattice_angstrom": [[-1.058, 3.960, 2.428], [-4.458, -2.164, 1.587], [2.422, -1.919, 4.186]], "species": ["Be", "Si", "In", "Ge", "In"], "frac_coords": [[0.500, 0.500, 0.500], [0.500, 0.000, 0.000], [0.000, 0.500, 0.000], [0.000, 0.000, 0.000], [0.000, 0.000, 0.500]], "dos_ef_per_ev_cell": 2.74, "e_tot_ev_per_atom": -3.056}


{"formula": "CrInAs2Br", "functional": "GGA-PBEsol", "state": "optimized geometry", "lattice_angstrom": [[4.604, 0.000, 0.000], [0.000, 4.604, 0.000], [0.000, 0.000, 5.415]], "species": ["As", "As", "Br", "Cr", "In"], "frac_coords": [[0.000, 0.500, 0.000], [0.500, 0.000, 0.000], [0.000, 0.000, 0.500], [0.000, 0.000, 0.000], [0.500, 0.500, 0.500]], "dos_ef_per_ev_cell": 2.57, "e_tot_ev_per_atom": -4.927}


{"formula": "ScIr2O", "functional": "GGA-PBEsol", "state": "optimized geometry", "lattice_angstrom": [[4.705, 0.000, 0.000], [0.000, 4.705, 0.000], [-2.353, -2.353, 6.294]], "species": ["Ir", "O", "Ir", "Ir", "Sc", "Ir", "O", "Sc"], "frac_coords": [[0.541, 0.875, 0.250], [0.500, 0.500, 0.000], [0.709, 0.375, 0.250], [0.625, 0.459, 0.750], [0.000, 0.000, 0.000], [0.125, 0.291, 0.750], [0.750, 0.250, 0.500], [0.250, 0.750, 0.500]], "dos_ef_per_ev_cell": 3.47, "e_tot_ev_per_atom": -7.973}


{"formula": "FeCuOs2", "functional": "GGA-PBEsol", "state": "optimized geometry", "lattice_angstrom": [[-3.101, 0.134, 2.054], [1.300, -2.753, 2.141], [2.461, 3.753, 0.098]], "species": ["Cu", "Fe", "Os", "Os"], "frac_coords": [[0.500, 0.500, 0.000], [0.000, 0.000, 0.000], [0.250, 0.750, 0.500], [0.750, 0.250, 0.500]], "dos_ef_per_ev_cell": 3.24, "de_polymorph_mev_per_atom": 108, "ef_ev_per_atom": 0.340, "e_tot_ev_per_atom": -9.092}


{"formula": "Zr2ScNbCr", "functional": "GGA-PBEsol", "state": "optimized geometry", "lattice_angstrom": [[4.687, 0.000, 0.000], [0.000, 4.714, 0.000], [0.000, 0.000, 4.714]], "species": ["Zr", "Nb", "Zr", "Cr", "Sc"], "frac_coords": [[0.000, 0.500, 0.000], [0.500, 0.500, 0.500], [0.000, 0.000, 0.500], [0.000, 0.000, 0.000], [0.500, 0.000, 0.000]], "dos_ef_per_ev_cell": 7.15, "ef_ev_per_atom": 0.747, "e_tot_ev_per_atom": -8.423}


{"formula": "Zn2FeCu", "functional": "GGA-PBEsol", "state": "optimized geometry", "lattice_angstrom": [[2.600, 0.000, 0.000], [0.000, 4.237, 0.000], [0.000, 0.000, 4.402]], "species": ["Zn", "Cu", "Zn", "Fe"], "frac_coords": [[0.000, 0.500, 0.689], [0.500, 0.000, 0.555], [0.000, 0.000, 0.067], [0.500, 0.500, 0.190]], "dos_ef_per_ev_cell": 2.95, "ef_ev_per_atom": 0.020, "e_tot_ev_per_atom": -4.095}


{"formula": "AlMoAs2", "functional": "GGA-PBEsol", "state": "optimized geometry", "lattice_angstrom": [[-3.230, 0.799, 0.703], [1.102, -3.752, 2.509], [1.451, 2.775, 3.513]], "species": ["Mo", "As", "As", "Al"], "frac_coords": [[0.570, 0.547, 0.000], [0.513, 0.294, 0.500], [0.238, 0.956, 0.000], [0.179, 0.703, 0.500]], "dos_ef_per_ev_cell": 2.90, "ef_ev_per_atom": 0.055, "e_tot_ev_per_atom": -6.463}


{"formula": "CoCuOs2", "functional": "GGA-PBEsol", "state": "optimized geometry", "lattice_angstrom": [[-1.485, 3.203, -0.970], [-1.774, 0.146, 3.199], [4.504, 0.116, 0.397]], "species": ["Co", "Cu", "Os", "Os"], "frac_coords": [[0.500, 0.500, 0.000], [0.000, 0.000, 0.000], [0.250, 0.750, 0.500], [0.750, 0.250, 0.500]], "dos_ef_per_ev_cell": 4.36, "de_polymorph_mev_per_atom": 0, "ef_ev_per_atom": 0.370, "e_tot_ev_per_atom": -8.756}


{"formula": "Te3Se", "functional": "GGA-PBEsol", "state": "optimized geometry", "lattice_angstrom": [[5.311, 0.000, 0.000], [-1.770, 5.007, 0.000], [-1.770, -2.504, 4.336]], "species": ["Te", "Te", "Se", "Te"], "frac_coords": [[0.500, 0.500, 0.000], [0.000, 0.500, 0.500], [0.000, 0.000, 0.000], [0.500, 0.000, 0.500]], "dos_ef_per_ev_cell": 2.67, "e_tot_ev_per_atom": -3.558}


{"formula": "CaOsN2F", "functional": "GGA-PBEsol", "state": "optimized geometry", "lattice_angstrom": [[3.935, 0.000, 0.000], [0.000, 4.289, 0.000], [0.000, 0.000, 4.289]], "species": ["Ca", "N", "N", "Os", "F"], "frac_coords": [[0.000, 0.000, 0.000], [0.000, 0.500, 0.000], [0.000, 0.000, 0.500], [0.500, 0.500, 0.500], [0.500, 0.000, 0.000]], "dos_ef_per_ev_cell": 5.27, "de_polymorph_mev_per_atom": 2255, "e_tot_ev_per_atom": -5.134}


{"formula": "CuOsRh", "functional": "GGA-PBEsol", "state": "optimized geometry", "lattice_angstrom": [[-0.524, -0.847, -2.427], [2.473, -0.125, 0.866], [-2.120, -5.639, 3.165]], "species": ["Os", "Rh", "Cu"], "frac_coords": [[0.665, 0.665, 0.331], [0.335, 0.335, 0.670], [0.000, 0.000, 0.999]], "dos_ef_per_ev_cell": 4.21, "ef_ev_per_atom": 0.406, "e_tot_ev_per_atom": -7.823}


{"formula": "Li2ScInBr", "functional": "GGA-PBEsol", "state": "optimized geometry", "lattice_angstrom": [[5.615, 0.000, 0.000], [0.000, 5.615, 0.000], [0.000, 0.000, 5.668]], "species": ["Sc", "In", "Li", "Li", "Br"], "frac_coords": [[0.000, 0.000, 0.000], [0.000, 0.000, 0.500], [0.000, 0.500, 0.000], [0.500, 0.000, 0.000], [0.500, 0.500, 0.500]], "dos_ef_per_ev_cell": 8.52, "e_tot_ev_per_atom": -2.453}


{"formula": "BiPdICl2", "functional": "GGA-PBEsol", "state": "optimized geometry", "lattice_angstrom": [[4.711, 0.000, 0.000], [0.000, 4.711, 0.000], [0.000, 0.000, 5.651]], "species": ["I", "Bi", "Pd", "Cl", "Cl"], "frac_coords": [[0.500, 0.500, 0.500], [0.000, 0.000, 0.500], [0.000, 0.000, 0.000], [0.500, 0.000, 0.000], [0.000, 0.500, 0.000]], "dos_ef_per_ev_cell": 2.91, "e_tot_ev_per_atom": -3.489}


{"formula": "SrLi2Ag", "functional": "GGA-PBEsol", "state": "optimized geometry", "lattice_angstrom": [[-2.921, 2.246, -1.326], [-1.155, -3.123, -2.747], [-2.247, -3.578, 5.012]], "species": ["Li", "Ag", "Sr", "Li"], "frac_coords": [[0.832, 0.000, 0.028], [0.704, 0.500, 0.788], [0.086, 0.000, 0.561], [0.378, 0.500, 0.123]], "dos_ef_per_ev_cell": 2.17, "ef_ev_per_atom": -0.060, "e_tot_ev_per_atom": -2.332}


{"formula": "BaNaW3", "functional": "GGA-PBEsol", "state": "optimized geometry", "lattice_angstrom": [[4.817, 0.000, 0.000], [0.000, 4.817, 0.000], [0.000, 0.000, 4.817]], "species": ["W", "Ba", "W", "Na", "W"], "frac_coords": [[0.000, 0.000, 0.500], [0.500, 0.500, 0.500], [0.500, 0.000, 0.000], [0.000, 0.000, 0.000], [0.000, 0.500, 0.000]], "dos_ef_per_ev_cell": 8.76, "de_polymorph_mev_per_atom": 0, "ef_ev_per_atom": 3.221, "e_tot_ev_per_atom": -5.773}


{"formula": "InHg2", "functional": "GGA-PBEsol", "state": "optimized geometry", "lattice_angstrom": [[3.196, 0.000, 0.000], [0.000, 3.196, 0.000], [-1.598, -1.598, 14.233]], "species": ["In", "Hg", "Hg", "Hg", "In", "Hg"], "frac_coords": [[0.250, 0.750, 0.500], [0.831, 0.331, 0.661], [0.419, 0.419, 0.839], [0.581, 0.581, 0.161], [0.000, 0.000, 0.000], [0.669, 0.169, 0.339]], "dos_ef_per_ev_cell": 2.20, "ef_ev_per_atom": -0.005, "e_tot_ev_per_atom": -1.377}